(1)
Entry from Alexandria: crystalline AcYTlAg at its relaxed geometry (PBE).

Results
Energy above the lowest structure with this stoichiometry = 0 meV/atom
Total magnetic moment = 0.0 μB/f.u.
ΔH_f (0 K) = -0.32 eV/atom

Lattice parameters (Å, degrees): 3.806 3.806 8.089 90.00 90.00 90.00
Positions (direct):
1 Ac 0.500 0.500 0.117
2 Ag 0.000 0.000 0.393
3 Tl 0.000 0.000 0.828
4 Y 0.500 0.500 0.589

(2)
Entry from Alexandria: crystalline NaAcGa2 at its relaxed geometry (PBE).

Results
Total magnetic moment = 0.0 μB/f.u.
ΔH_f (0 K) = -0.21 eV/atom

Lattice parameters (Å, degrees): 3.909 5.356 5.356 90.00 90.00 90.00
Positions (direct):
1 Ga 0.000 0.500 0.000
2 Ga 0.000 0.000 0.500
3 Ac 0.500 0.500 0.500
4 Na 0.500 0.000 0.000

(3)
Entry from Alexandria: crystalline HfSeF at its relaxed geometry (PBE).

Results
Total magnetic moment = 0.0 μB/f.u.

Lattice parameters (Å, degrees): 6.714 5.983 7.781 121.10 90.00 90.00
Positions (direct):
1 Se 0.393 0.411 0.715
2 Se 0.107 0.911 0.715
3 Se 0.607 0.589 0.285
4 Se 0.893 0.089 0.285
5 Hf 0.129 0.775 0.983
6 Hf 0.871 0.225 0.017
7 Hf 0.371 0.275 0.983
8 Hf 0.629 0.725 0.017
9 F 0.884 0.492 0.866
10 F 0.616 0.992 0.866
11 F 0.116 0.508 0.134
12 F 0.384 0.008 0.134

(4)
Entry from Alexandria: crystalline Be2AlCuNi at its relaxed geometry (PBE).

Results
Total magnetic moment = 0.0 μB/f.u.
ΔH_f (0 K) = -0.23 eV/atom

Lattice parameters (Å, degrees): 3.639 4.555 7.218 90.00 90.00 113.54
Positions (direct):
1 Ni 0.188 0.375 0.250
2 Ni 0.812 0.625 0.750
3 Al 0.468 0.936 0.250
4 Al 0.532 0.064 0.750
5 Be 0.288 0.576 0.938
6 Be 0.288 0.576 0.562
7 Be 0.712 0.424 0.438
8 Be 0.712 0.424 0.062
9 Cu 0.000 0.000 0.000
10 Cu 0.000 0.000 0.500

(5)
Entry from Alexandria: crystalline MgMo2Ru at its relaxed geometry (PBE).

Results
Total magnetic moment = 0.0 μB/f.u.
ΔH_f (0 K) = 0.21 eV/atom

Lattice parameters (Å, degrees): 3.116 4.326 4.605 90.00 90.00 90.00
Positions (direct):
1 Ru 0.500 0.000 0.500
2 Mo 0.000 0.000 0.000
3 Mo 0.500 0.500 0.000
4 Mg 0.000 0.500 0.500

(6)
Entry from Alexandria: crystalline CaTi2CdNi at its relaxed geometry (PBE).

Results
Total magnetic moment = 2.6 μB/f.u.
ΔH_f (0 K) = 0.25 eV/atom

Lattice parameters (Å, degrees): 4.682 5.041 4.682 90.00 90.00 90.00
Last column: magnetic moment on the atom in μB.
Positions (direct):
1 Ti 0.500 0.000 0.000  1.03
2 Ti 0.000 0.000 0.500  0.74
3 Ca 0.500 0.500 0.500  0.06
4 Ni 0.000 0.000 0.000  0.09
5 Cd 0.000 0.500 0.000  0.00

(7)
Entry from Alexandria: crystalline ZrTaAl at its relaxed geometry (PBE).

Results
Energy above the lowest structure with this stoichiometry = 109 meV/atom
Total magnetic moment = 0.0 μB/f.u.
ΔH_f (0 K) = -0.16 eV/atom

Lattice parameters (Å, degrees): 5.325 5.325 5.325 145.83 137.23 55.85
Positions (direct):
1 Zr 0.666 0.666 0.000
2 Ta 0.342 0.342 0.000
3 Al 0.991 0.991 0.000

(8)
Entry from Alexandria: crystalline CdCoCl2 at its relaxed geometry (PBE).

Results
Energy above the lowest structure with this stoichiometry = 119 meV/atom
Total magnetic moment = 0.3 μB/f.u.

Lattice parameters (Å, degrees): 6.670 6.670 6.670 152.91 136.34 52.14
Last column: magnetic moment on the atom in μB.
Positions (direct):
1 Co 0.750 0.250 0.500  0.31
2 Cd 0.250 0.750 0.500  0.00
3 Cl 0.612 0.612 0.000  0.01
4 Cl 0.888 0.888 0.000  0.01

(9)
Entry from Alexandria: crystalline DyY2Tc at its relaxed geometry (PBE).

Results
Energy above the lowest structure with this stoichiometry = 0 meV/atom
Total magnetic moment = 0.0 μB/f.u.
ΔH_f (0 K) = -0.09 eV/atom

Lattice parameters (Å, degrees): 6.295 7.425 9.215 90.00 90.00 90.00
Positions (direct):
1 Y 0.339 0.177 0.064
2 Y 0.661 0.823 0.936
3 Y 0.161 0.677 0.064
4 Y 0.661 0.823 0.564
5 Y 0.161 0.677 0.436
6 Y 0.339 0.177 0.436
7 Y 0.839 0.323 0.936
8 Y 0.839 0.323 0.564
9 Dy 0.870 0.044 0.250
10 Dy 0.370 0.456 0.750
11 Dy 0.630 0.544 0.250
12 Dy 0.130 0.956 0.750
13 Tc 0.965 0.615 0.750
14 Tc 0.465 0.885 0.250
15 Tc 0.535 0.115 0.750
16 Tc 0.035 0.385 0.250

(10)
Entry from Alexandria: crystalline SmDyMgZn at its relaxed geometry (PBE).

Results
Energy above the lowest structure with this stoichiometry = 0 meV/atom
Total magnetic moment = 0.0 μB/f.u.
ΔH_f (0 K) = -0.21 eV/atom

Lattice parameters (Å, degrees): 3.630 3.630 7.787 90.00 90.00 90.00
Positions (direct):
1 Mg 0.500 0.500 0.115
2 Dy 0.000 0.000 0.384
3 Zn 0.500 0.500 0.597
4 Sm 0.000 0.000 0.832

(11)
Entry from Alexandria: crystalline NiHgP2 at its relaxed geometry (PBE).

Results
Total magnetic moment = 0.0 μB/f.u.
ΔH_f (0 K) = 0.13 eV/atom

Lattice parameters (Å, degrees): 9.946 9.946 9.946 16.91 16.91 16.91
Positions (direct):
1 Hg 0.250 0.250 0.250
2 P 0.471 0.471 0.471
3 P 0.029 0.029 0.029
4 Ni 0.750 0.750 0.750

(12)
Entry from Alexandria: crystalline Dy6HgTe3As2 at its relaxed geometry (PBE).

Results
Total magnetic moment = 0.0 μB/f.u.

Lattice parameters (Å, degrees): 4.196 8.703 9.588 103.49 102.64 90.00
Positions (direct):
1 Dy 0.335 0.896 0.670
2 Dy 0.674 0.567 0.348
3 Dy 0.665 0.104 0.330
4 Dy 0.326 0.433 0.652
5 Dy 0.992 0.753 0.984
6 Dy 0.008 0.247 0.016
7 Te 0.833 0.168 0.667
8 Te 0.500 0.500 0.000
9 Te 0.167 0.832 0.333
10 As 0.832 0.663 0.664
11 As 0.168 0.337 0.336
12 Hg 0.500 0.000 0.000

Listing electronic total energy for the structures above in their given order: -17.1; -12.3; -21.4; -22.2; -31.7; -23.2; -24.6; -12.7; -28.3; -13.0; -16.4; -61.9 eV per formula unit.